# ScSb2Br (GGA-PBE, relaxed)
data_ScSb2Br
_chemical_formula_sum 'Sc1 Sb2 Br1'
_cell_length_a 6.676
_cell_length_b 6.676
_cell_length_c 5.008
_cell_angle_alpha 105.15
_cell_angle_beta 105.15
_cell_angle_gamma 29.73
_symmetry_space_group_name_H-M 'P 1'
_symmetry_Int_Tables_number 1
_symmetry_space_group_name_Hall 'P 1'
loop_
_atom_site_label
_atom_site_fract_x
_atom_site_fract_y
_atom_site_fract_z
Sc1 0.000 0.000 0.000
Sb1 0.290 0.290 0.799
Sb2 0.710 0.710 0.201
Br1 0.500 0.500 0.500
# - total DFT energy (no corrections) (eV/atom) = -4.504
# - total magnetization (μB per formula unit) = 0.00
# - offset from the most stable computed form (meV per atom) = 181.7
# - symmetry = C2/m (12)
# - raw formation energy (meV/atom) = -441.8

# ScSb2Br (GGA-PBE, relaxed)
data_ScSb2Br
_chemical_formula_sum 'Sc1 Sb2 Br1'
_cell_length_a 5.990
_cell_length_b 5.990
_cell_length_c 3.381
_cell_angle_alpha 90.00
_cell_angle_beta 90.00
_cell_angle_gamma 121.60
_symmetry_space_group_name_H-M 'P 1'
_symmetry_Int_Tables_number 1
_symmetry_space_group_name_Hall 'P 1'
loop_
_atom_site_label
_atom_site_fract_x
_atom_site_fract_y
_atom_site_fract_z
Sc1 0.000 0.000 0.000
Sb1 0.000 0.500 0.500
Sb2 0.500 0.000 0.500
Br1 0.500 0.500 0.000
# - total DFT energy (no corrections) (eV/atom) = -4.287
# - total magnetization (μB per formula unit) = 0.00
# - offset from the most stable computed form (meV per atom) = 398.8
# - symmetry = Cmmm (65)
# - raw formation energy (meV/atom) = -224.6

# ScSbBr (GGA-PBE, relaxed)
data_ScSbBr
_chemical_formula_sum 'Sc1 Sb1 Br1'
_cell_length_a 3.652
_cell_length_b 3.652
_cell_length_c 7.690
_cell_angle_alpha 90.00
_cell_angle_beta 90.00
_cell_angle_gamma 120.00
_symmetry_space_group_name_H-M 'P 1'
_symmetry_Int_Tables_number 1
_symmetry_space_group_name_Hall 'P 1'
loop_
_atom_site_label
_atom_site_fract_x
_atom_site_fract_y
_atom_site_fract_z
Sc1 0.000 0.000 0.000
Sb1 0.667 0.333 0.725
Br1 0.333 0.667 0.224
# - total DFT energy (no corrections) (eV/atom) = -4.981
# - total magnetization (μB per formula unit) = 0.00
# - offset from the most stable computed form (meV per atom) = 0.0
# - symmetry = P3m1 (156)
# - raw formation energy (meV/atom) = -939.0

# Sc2SbBr2 (GGA-PBE, relaxed)
data_Sc2SbBr2
_chemical_formula_sum 'Sc2 Sb1 Br2'
_cell_length_a 10.628
_cell_length_b 10.628
_cell_length_c 10.628
_cell_angle_alpha 21.71
_cell_angle_beta 21.71
_cell_angle_gamma 21.71
_symmetry_space_group_name_H-M 'P 1'
_symmetry_Int_Tables_number 1
_symmetry_space_group_name_Hall 'P 1'
loop_
_atom_site_label
_atom_site_fract_x
_atom_site_fract_y
_atom_site_fract_z
Sc1 0.112 0.112 0.112
Sc2 0.888 0.888 0.888
Sb1 0.500 0.500 0.500
Br1 0.273 0.273 0.273
Br2 0.727 0.727 0.727
# - total DFT energy (no corrections) (eV/atom) = -5.337
# - total magnetization (μB per formula unit) = 0.00
# - symmetry = R-3m (166)
# - raw formation energy (meV/atom) = -1310.7

# ScSb2Br (GGA-PBE, relaxed)
data_ScSb2Br
_chemical_formula_sum 'Sc2 Sb4 Br2'
_cell_length_a 11.959
_cell_length_b 11.959
_cell_length_c 11.959
_cell_angle_alpha 158.88
_cell_angle_beta 158.88
_cell_angle_gamma 30.05
_symmetry_space_group_name_H-M 'P 1'
_symmetry_Int_Tables_number 1
_symmetry_space_group_name_Hall 'P 1'
loop_
_atom_site_label
_atom_site_fract_x
_atom_site_fract_y
_atom_site_fract_z
Sc1 0.000 0.000 0.000
Sc2 0.750 0.250 0.500
Sb1 0.084 0.625 0.959
Sb2 0.375 0.334 0.459
Sb3 0.666 0.125 0.041
Sb4 0.875 0.916 0.541
Br1 0.250 0.750 0.500
Br2 0.500 0.500 0.000
# - total DFT energy (no corrections) (eV/atom) = -4.389
# - total magnetization (μB per formula unit) = 0.00
# - offset from the most stable computed form (meV per atom) = 296.6
# - symmetry = I-42d (122)
# - raw formation energy (meV/atom) = -326.9

# ScSb2Br (GGA-PBE, relaxed)
data_ScSb2Br
_chemical_formula_sum 'Sc1 Sb2 Br1'
_cell_length_a 3.825
_cell_length_b 3.825
_cell_length_c 7.301
_cell_angle_alpha 90.00
_cell_angle_beta 90.00
_cell_angle_gamma 90.00
_symmetry_space_group_name_H-M 'P 1'
_symmetry_Int_Tables_number 1
_symmetry_space_group_name_Hall 'P 1'
loop_
_atom_site_label
_atom_site_fract_x
_atom_site_fract_y
_atom_site_fract_z
Sc1 0.000 0.000 0.000
Sb1 0.500 0.500 0.199
Sb2 0.500 0.500 0.801
Br1 0.000 0.000 0.500
# - total DFT energy (no corrections) (eV/atom) = -4.515
# - total magnetization (μB per formula unit) = 0.00
# - offset from the most stable computed form (meV per atom) = 170.5
# - symmetry = P4/mmm (123)
# - raw formation energy (meV/atom) = -453.0